Entry 1:
## RbBa2V2S6 (PBE)

Data for RbBa2V2S6 after structural relaxation.

Calculated values
VASP energy = -5.5501 eV per atom
magnetic moment = 3.13 μB per cell

a b c (Å): 7.0197 7.0197 26.5787
angles (deg): 90.00 90.00 120.00
Space group R-3m (No. 166, hexagonal axes)
Symmetry-distinct sites (fractional):
Rb 0.0000 0.0000 0.0000
Ba 0.0000 0.0000 0.2018
V 0.0000 0.0000 0.4535
S 0.0134 0.5067 0.7694

=====

Entry 2:
## RbV3N (PBE)

Data for RbV3N after structural relaxation.

Calculated values
VASP energy = -6.4290 eV per atom
energy relative to the lowest polymorph listed for this composition = 0 meV/atom
magnetic moment = 0.80 μB per cell

a b c (Å): 4.189 4.189 4.189
angles (deg): 90.00 90.00 90.00
Space group Pm-3m (No. 221)
Symmetry-distinct sites (fractional):
Rb 0.000 0.000 0.000
V 0.000 0.500 0.500
N 0.500 0.500 0.500

=====

Entry 3:
## SiPb3 (PBE)

Data for SiPb3 after structural relaxation.

Calculated values
VASP energy = -3.8046 eV per atom
energy relative to the lowest polymorph listed for this composition = 62 meV/atom
magnetic moment = 0.00 μB per cell

a b c (Å): 3.4265 3.4265 10.9897
angles (deg): 90.00 90.00 120.00
Space group P-6m2 (No. 187)
Symmetry-distinct sites (fractional):
Si 0.0000 0.0000 0.0000
Pb 0.0000 0.0000 0.5000
Pb 0.3333 0.6667 0.2228

=====

Entry 4:
## CsHfSe3 (PBE)

Data for CsHfSe3 after structural relaxation.

Calculated values
VASP energy = -2.8602 eV per atom
energy relative to the lowest polymorph listed for this composition = 2497 meV/atom
magnetic moment = 0.98 μB per cell

a b c (Å): 5.595 5.595 5.595
angles (deg): 90.00 90.00 90.00
Space group Pm-3m (No. 221)
Symmetry-distinct sites (fractional):
Cs 0.000 0.000 0.000
Hf 0.500 0.500 0.500
Se 0.000 0.000 0.500

=====

Entry 5:
## MgCrTe2 (PBE)

Data for MgCrTe2 after structural relaxation.

Calculated values
VASP energy = -4.4338 eV per atom
magnetic moment = 8.00 μB per cell

a b c (Å): 3.997 7.805 7.919
angles (deg): 90.00 90.00 90.00
Space group Immm (No. 71)
Symmetry-distinct sites (fractional):
Mg 0.000 0.000 0.000
Cr 0.000 0.500 0.000
Te 0.000 0.239 0.500

=====

Entry 6:
## Tl7TeH12 (PBE)

Data for Tl7TeH12 after structural relaxation.

Calculated values
VASP energy = -2.9259 eV per atom
magnetic moment = 0.00 μB per cell

a b c (Å): 7.022 8.349 8.361
angles (deg): 112.42 106.26 106.23
Space group P1 (No. 1)
Symmetry-distinct sites (fractional):
Tl 0.000 0.000 0.000
Tl 0.051 0.286 0.438
Tl 0.158 0.639 0.832
Tl 0.289 0.395 0.042
Tl 0.355 0.157 0.676
Tl 0.675 0.832 0.194
Tl 0.922 0.790 0.546
Te 0.801 0.157 0.676
H 0.196 0.831 0.313
H 0.221 0.774 0.232
H 0.350 0.648 0.507
H 0.448 0.720 0.510
H 0.518 0.325 0.336
H 0.524 0.126 0.006
H 0.556 0.520 0.710
H 0.606 0.101 0.062
H 0.612 0.321 0.404
H 0.663 0.601 0.735
H 0.861 0.499 0.184
H 0.886 0.431 0.111

=====

Entry 7:
## SrVSCl2 (PBE)

Data for SrVSCl2 after structural relaxation.

Calculated values
VASP energy = -4.1541 eV per atom
energy relative to the lowest polymorph listed for this composition = 953 meV/atom
magnetic moment = 2.99 μB per cell

a b c (Å): 5.390 5.390 5.794
angles (deg): 90.00 90.00 90.00
Space group P4/mmm (No. 123)
Symmetry-distinct sites (fractional):
Sr 0.000 0.000 0.000
V 0.500 0.500 0.500
S 0.000 0.000 0.500
Cl 0.000 0.500 0.000

=====

Entry 8:
## KMn2InBr6 (PBE)

Data for KMn2InBr6 after structural relaxation.

Calculated values
VASP energy = -4.1653 eV per atom
magnetic moment = 40.00 μB per cell

a b c (Å): 14.779 13.684 7.691
angles (deg): 90.00 102.63 90.00
Space group C2/c (No. 15)
Symmetry-distinct sites (fractional):
K 0.000 0.192 0.250
Mn 0.208 0.089 0.765
In 0.000 0.403 0.750
Br 0.122 0.401 0.165
Br 0.137 0.243 0.639
Br 0.141 0.046 0.039

=====

Entry 9:
## SmNbC (PBE)

Data for SmNbC after structural relaxation.

Calculated values
VASP energy = -8.0600 eV per atom
DFT formation energy = -1.29 kcal/mol of atoms
magnetic moment = 0.02 μB per cell

a b c (Å): 5.8347 5.8347 16.6477
angles (deg): 90.00 90.00 120.00
Space group R3 (No. 146, hexagonal axes)
Symmetry-distinct sites (fractional):
Sm 0.0012 0.6739 0.0000
Nb 0.0003 0.3348 0.8294
C 0.0000 0.0000 0.1044
C 0.0000 0.0000 0.4371
C 0.0000 0.0000 0.8947

=====

Entry 10:
## CaTbTh2Sb4 (PBE)

Data for CaTbTh2Sb4 after structural relaxation.

Calculated values
VASP energy = -5.7627 eV per atom
magnetic moment = 0.00 μB per cell

a b c (Å): 7.724 4.498 7.801
angles (deg): 90.00 109.57 90.00
Space group P2/m (No. 10)
Symmetry-distinct sites (fractional):
Ca 0.000 0.000 0.000
Tb 0.000 0.500 0.500
Th 0.500 0.000 0.500
Th 0.500 0.500 0.000
Sb 0.245 0.000 0.746
Sb 0.249 0.500 0.252

=====

Entry 11:
## BaMg2FePt (PBE)

Data for BaMg2FePt after structural relaxation.

Calculated values
VASP energy = -3.8242 eV per atom
DFT formation energy = 2.28 kcal/mol of atoms
magnetic moment = 0.00 μB per cell

a b c (Å): 4.994 4.994 4.776
angles (deg): 90.00 90.00 90.00
Space group P4/mmm (No. 123)
Symmetry-distinct sites (fractional):
Ba 0.000 0.000 0.000
Mg 0.000 0.500 0.500
Fe 0.500 0.500 0.500
Pt 0.500 0.500 0.000

=====

Entry 12:
## AcTbAl2Si (PBE)

Data for AcTbAl2Si after structural relaxation.

Calculated values
VASP energy = -4.7720 eV per atom
magnetic moment = 0.00 μB per cell

a b c (Å): 4.464 4.574 12.303
angles (deg): 90.00 90.00 90.00
Space group Imm2 (No. 44)
Symmetry-distinct sites (fractional):
Ac 0.000 0.000 0.000
Tb 0.000 0.500 0.758
Al 0.000 0.000 0.608
Al 0.000 0.500 0.248
Si 0.000 0.000 0.402

=====

Entry 13:
## Lu2HfMg (PBE)

Data for Lu2HfMg after structural relaxation.

Calculated values
VASP energy = -5.0998 eV per atom
energy relative to the lowest polymorph listed for this composition = 56 meV/atom
DFT formation energy = 1.10 kcal/mol of atoms
magnetic moment = 0.00 μB per cell

a b c (Å): 3.3344 3.3344 32.5312
angles (deg): 90.00 90.00 120.00
Space group R-3m (No. 166, hexagonal axes)
Symmetry-distinct sites (fractional):
Lu 0.0000 0.0000 0.2467
Hf 0.0000 0.0000 0.5000
Mg 0.0000 0.0000 0.0000

=====

Entry 14:
## Ac6PdRu2 (PBE)

Data for Ac6PdRu2 after structural relaxation.

Calculated values
VASP energy = -5.6907 eV per atom
energy relative to the lowest polymorph listed for this composition = 0 meV/atom
DFT formation energy = -7.23 kcal/mol of atoms
magnetic moment = 0.00 μB per cell

a b c (Å): 18.302 4.383 8.367
angles (deg): 90.00 98.69 90.00
Space group C2/m (No. 12)
Symmetry-distinct sites (fractional):
Ac 0.007 0.000 0.255
Ac 0.169 0.500 0.097
Ac 0.169 0.500 0.573
Pd 0.000 0.500 0.000
Ru 0.164 0.000 0.327

=====

Entry 15:
## SrBi2Pb2 (PBE)

Data for SrBi2Pb2 after structural relaxation.

Calculated values
VASP energy = -3.5676 eV per atom
DFT formation energy = -4.51 kcal/mol of atoms
magnetic moment = 0.00 μB per cell

a b c (Å): 9.043 9.043 4.204
angles (deg): 90.00 90.00 90.00
Space group P4/mbm (No. 127)
Symmetry-distinct sites (fractional):
Sr 0.000 0.000 0.000
Bi 0.173 0.327 0.500
Pb 0.126 0.626 0.000

=====

Entry 16:
## HfZn (PBE)

Data for HfZn after structural relaxation.

Calculated values
VASP energy = -4.4792 eV per atom
DFT formation energy = 26.16 kcal/mol of atoms
magnetic moment = 3.55 μB per cell

a b c (Å): 8.572 8.572 8.572
angles (deg): 90.00 90.00 90.00
Space group I-43m (No. 217)
Symmetry-distinct sites (fractional):
Hf 0.121 0.121 0.879
Zn 0.189 0.189 0.189

=====

Entry 17:
## CeMgPb (PBE)

Data for CeMgPb after structural relaxation.

Calculated values
VASP energy = -3.7832 eV per atom
DFT formation energy = -0.87 kcal/mol of atoms
magnetic moment = 11.63 μB per cell

a b c (Å): 5.0259 5.0259 24.0975
angles (deg): 90.00 90.00 120.00
Space group R-3m (No. 166, hexagonal axes)
Symmetry-distinct sites (fractional):
Ce 0.0000 0.0000 0.1540
Mg 0.0000 0.0000 0.2942
Pb 0.0000 0.0000 0.4187

=====

Entry 18:
## Mg3H4Ir3 (PBE)

Data for Mg3H4Ir3 after structural relaxation.

Calculated values
VASP energy = -4.7320 eV per atom
energy relative to the lowest polymorph listed for this composition = 0 meV/atom
magnetic moment = 0.00 μB per cell

a b c (Å): 8.834 5.720 5.272
angles (deg): 90.00 119.32 90.00
Space group C2 (No. 5)
Symmetry-distinct sites (fractional):
Mg 0.000 0.000 0.000
Mg 0.145 0.457 0.402
H 0.120 0.577 0.939
H 0.134 0.813 0.650
Ir 0.000 0.057 0.500
Ir 0.219 0.316 0.968

=====

Entry 19:
## Cs2SrMnCl (PBE)

Data for Cs2SrMnCl after structural relaxation.

Calculated values
VASP energy = -2.4843 eV per atom
magnetic moment = 4.09 μB per cell

a b c (Å): 8.064 8.064 6.031
angles (deg): 90.00 90.00 90.00
Space group P4/mmm (No. 123)
Symmetry-distinct sites (fractional):
Cs 0.000 0.500 0.000
Sr 0.000 0.000 0.000
Mn 0.000 0.000 0.500
Cl 0.500 0.500 0.500

=====

Entry 20:
## HgSb4 (PBE)

Data for HgSb4 after structural relaxation.

Calculated values
VASP energy = -2.9890 eV per atom
energy relative to the lowest polymorph listed for this composition = 305 meV/atom
magnetic moment = 0.00 μB per cell

a b c (Å): 6.850 6.850 6.850
angles (deg): 90.00 90.00 90.00
Space group Im-3m (No. 229)
Symmetry-distinct sites (fractional):
Hg 0.000 0.000 0.000
Sb 0.250 0.250 0.250